Record 1
Crystalline LaReHg2 at its relaxed geometry, computed with PBE.

Cell: 5.5653 5.5653 5.5653 Å, 133.35 133.35 68.11°
With the nearest neighbours (Å) after each atom.
Positions (direct):
Hg1 0.0000 0.0000 0.0000  4 Hg 3.12, 4 La 3.19, 4 Re 3.19
Re1 0.7500 0.2500 0.5000  4 La 3.12, 8 Hg 3.19
Hg2 0.5000 0.5000 0.0000  4 Hg 3.12, 4 Re 3.19, 4 La 3.19
La1 0.2500 0.7500 0.5000  4 Re 3.12, 8 Hg 3.19

Computed properties:
D(E_F): 4.161 states/eV per cell
Theoretical density: 13.47 Mg/m³
Formation enthalpy at 0 K: 1.5 eV/f.u.
Space group: I4/mmm (139)
Energy above the most stable polymorph in this dataset: 0.17 eV per formula unit



Record 2
Crystalline Zr5Si3 at its relaxed geometry, computed with PBE.

Cell: 8.0162 8.0162 8.0160 Å, 96.36 96.36 141.11°
With the nearest neighbours (Å) after each atom.
Positions (direct):
Zr1 0.2495 0.7500 0.5000  2 Zr 2.67, 4 Si 2.77
Si1 0.6600 0.8395 0.5000  6 Zr 2.77-2.91
Si2 0.8389 0.3393 0.1791  6 Zr 2.77-2.91
Si3 0.1598 0.6602 0.8209  6 Zr 2.77-2.91
Si4 0.3391 0.1605 0.5000  6 Zr 2.77-2.91
Si5 0.2497 0.2500 0.0000  2 Si 2.67, 8 Zr 2.79
Zr2 0.7855 0.0808 0.8666  6 Si 2.79-3.11, 1 Zr 3.10
Zr3 0.9189 0.7859 0.7051  6 Si 2.79-3.11, 1 Zr 3.10
Zr4 0.7495 0.2499 0.5000  2 Zr 2.67, 4 Si 2.77
Zr5 0.2139 0.9193 0.1335  6 Si 2.79-3.11, 1 Zr 3.10
Zr6 0.0804 0.2142 0.2949  6 Si 2.79-3.11, 1 Zr 3.10
Zr7 0.4189 0.7142 0.1334  6 Si 2.79-3.11, 1 Zr 3.10
Si6 0.7497 0.7500 0.0000  2 Si 2.67, 8 Zr 2.79
Zr8 0.7138 0.5808 0.2949  6 Si 2.79-3.11, 1 Zr 3.10
Zr9 0.5804 0.2858 0.8665  6 Si 2.79-3.11, 1 Zr 3.10
Zr10 0.2855 0.4194 0.7051  6 Si 2.79-3.11, 1 Zr 3.10

Computed properties:
D(E_F): 9.860 states/eV per cell
Theoretical density: 5.88 Mg/m³
Space group: I4/mcm (140)
Energy above the most stable polymorph in this dataset: 0.31 eV per formula unit
Raw formation energy: -18.069 kcal/mol of atoms



Record 3
Crystalline ThPaOs at its relaxed geometry, computed with PBE.

Cell: 3.6455 3.6455 5.9013 Å, 107.99 107.99 90.00°
With the nearest neighbours (Å) after each atom.
Positions (direct):
Th1 0.0062 0.0062 0.0123  5 Pa 3.20-3.33, 5 Os 3.21-3.40
Pa1 0.3078 0.3078 0.6156  4 Os 2.88, 1 Th 3.20
Os1 0.6860 0.6860 0.3721  4 Pa 2.88, 4 Th 3.21

Computed properties:
D(E_F): 3.376 states/eV per cell
Theoretical density: 15.38 Mg/m³
Formation enthalpy at 0 K: -0.5 eV/f.u.
Space group: I4mm (107)
Energy above the most stable polymorph in this dataset: 0.18 eV per formula unit



Record 4
Crystalline Ba2NaZnPt at its relaxed geometry, computed with PBE.

Cell: 6.1171 6.1171 5.4672 Å, 90.00 90.00 90.00°
With the nearest neighbours (Å) after each atom.
Positions (direct):
Na1 0.0000 0.0000 0.5000  2 Pt 2.73
Ba1 0.0000 0.5000 0.0000  2 Pt 3.06
Pt1 0.0000 0.0000 0.0000  2 Na 2.73, 4 Ba 3.06
Zn1 0.5000 0.5000 0.5000  8 Ba 4.10, 4 Na 4.33
Ba2 0.5000 0.0000 0.0000  2 Pt 3.06

Computed properties:
D(E_F): 2.840 states/eV per cell
Theoretical density: 4.53 Mg/m³
Formation enthalpy at 0 K: -1.0 eV/f.u.
Space group: P4/mmm (123)
Energy above the most stable polymorph in this dataset: 0.77 eV per formula unit



Record 5
Crystalline BC3 at its relaxed geometry, computed with PBE.

Cell: 2.5216 4.6262 6.3954 Å, 92.06 90.00 90.00°
With the nearest neighbours (Å) after each atom.
Positions (direct):
B1 0.5000 0.1767 0.9150  4 C 1.61-1.67
B2 0.0000 0.6580 0.6640  4 C 1.62-1.71
C1 0.0000 0.9985 0.2518  4 C 1.53-1.56
C2 0.5000 0.1646 0.6582  3 C 1.53-1.55, 1 B 1.64
C3 0.5000 0.8513 0.5744  2 C 1.53, 2 B 1.66
C4 0.0000 0.3237 0.5791  3 C 1.54-1.55, 1 B 1.62
C5 0.0000 0.6732 0.9322  3 C 1.51-1.52
C6 0.5000 0.8390 0.3355  3 C 1.53-1.56, 1 B 1.63
C7 0.0000 0.3134 0.3380  2 C 1.54, 2 B 1.64
C8 0.0000 0.9867 0.0118  2 C 1.52-1.53, 2 B 1.67
C9 0.5000 0.5137 0.9871  2 C 1.51, 1 B 1.61
B3 0.5000 0.5013 0.2529  4 C 1.63-1.70

Computed properties:
D(E_F): 2.763 states/eV per cell
Theoretical density: 3.13 Mg/m³
Formation enthalpy at 0 K: 1.2 eV/f.u.
Space group: Pm (6)
Energy above the most stable polymorph in this dataset: 0.25 eV per formula unit



Record 6
Crystalline K5GaBr8 at its relaxed geometry, computed with PBE.

Cell: 9.5255 9.5255 9.5255 Å, 105.96 105.96 116.75°
With the nearest neighbours (Å) after each atom.
Positions (direct):
Br1 0.5499 0.8874 0.6901  1 Ga 2.37
Br2 0.5489 0.3890 0.6865  4 K 3.12-3.32
K1 0.4100 0.8882 0.0678  4 Br 3.18-3.45
Ga1 0.2500 0.7500 0.5000  4 Br 2.37
K2 0.5000 0.5000 0.0000  4 Br 3.12
Br3 0.1375 0.4511 0.8400  4 K 3.12-3.32
Br4 0.7025 0.8625 0.3135  4 K 3.12-3.32
Br5 0.1973 0.8598 0.3099  1 Ga 2.37
K3 0.1118 0.1796 0.5218  4 Br 3.18-3.45
Br6 0.1402 0.4501 0.3375  1 Ga 2.37
Br7 0.1126 0.8027 0.6625  1 Ga 2.37
K4 0.8204 0.3422 0.9322  4 Br 3.18-3.45
Br8 0.6110 0.2975 0.1600  4 K 3.12-3.32
K5 0.6578 0.5900 0.4782  4 Br 3.18-3.45

Computed properties:
D(E_F): 0.000 states/eV per cell
Theoretical density: 2.29 Mg/m³
Space group: I-4 (82)
Raw formation energy: -33.005 kcal/mol of atoms